Density functional theory data (PBE-GGA) for an optimized crystal structure of TbDy2Zr.

Geometry as POSCAR:
```
TbDy2Zr
1.0
1.680 0.970 11.968
-1.680 0.970 11.968
0.000 -1.939 11.968
Tb Dy Zr
1 2 1
direct
0.000 0.000 0.000
0.414 0.414 0.414
0.586 0.586 0.586
0.500 0.500 0.500
```

Output
**Size of the total moment**: 0.00 μB/cell
**Energy relative to the elements**: 1.18 eV/f.u.
**Calculated density**: 8.2 g/cm³